Entry 1:
! GGA-PBE GeBPdAu, optimized geometry; values from VASP
! density = 11.01 Mg/m³
! energy above the lowest structure with this stoichiometry = 0 kJ/mol of formula units
&SYSTEM
  ibrav = 0, nat = 4, ntyp = 4
/
ATOMIC_SPECIES
B 10.81 B.upf
Pd 106.42 Pd.upf
Ge 72.64 Ge.upf
Au 196.97 Au.upf
CELL_PARAMETERS angstrom
-0.015 -3.952 -1.825
-0.116 -3.556 2.509
-3.597 -2.449 0.141
ATOMIC_POSITIONS angstrom
B -1.864 -4.979 0.412
Pd -0.932 -2.489 0.206
Ge 0.000 0.000 0.000
Au -2.796 -7.468 0.618

Entry 2:
! GGA-PBE ZrPaTe, optimized geometry; values from VASP
! magnetization = 2.29 μB/f.u.
! density = 8.28 Mg/m³
! energy above the lowest structure with this stoichiometry = 152 kJ/mol of formula units
&SYSTEM
  ibrav = 0, nat = 3, ntyp = 3
/
ATOMIC_SPECIES
Pa 231.04 Pa.upf
Zr 91.22 Zr.upf
Te 127.60 Te.upf
CELL_PARAMETERS angstrom
-1.414 3.397 3.436
-2.767 3.974 -1.379
-4.828 0.312 1.394
ATOMIC_POSITIONS angstrom
Pa 0.000 0.000 0.000
Zr -6.756 5.762 2.588
Te -2.252 1.921 0.863

Entry 3:
! GGA-PBE LiTcNiB, optimized geometry; values from VASP
! magnetization = 0.90 μB/f.u.
! density = 6.80 Mg/m³
! energy above the lowest structure with this stoichiometry = 38 kJ/mol of formula units
&SYSTEM
  ibrav = 0, nat = 4, ntyp = 4
/
ATOMIC_SPECIES
Tc 98.00 Tc.upf
Li 6.94 Li.upf
B 10.81 B.upf
Ni 58.69 Ni.upf
CELL_PARAMETERS angstrom
3.773 -0.858 -0.626
1.529 -3.299 1.464
0.968 -2.945 -2.400
ATOMIC_POSITIONS angstrom
Tc 4.702 -5.327 -1.172
Li 1.567 -1.776 -0.391
B 0.000 0.000 0.000
Ni 3.135 -3.551 -0.781

Entry 4:
! GGA-PBE Sr2MgTcS6, optimized geometry; values from VASP
! magnetization = 1.08 μB/f.u.
! density = 3.68 Mg/m³
! energy above the lowest structure with this stoichiometry = 105 kJ/mol of formula units
&SYSTEM
  ibrav = 0, nat = 10, ntyp = 4
/
ATOMIC_SPECIES
S 32.06 S.upf
Mg 24.30 Mg.upf
Tc 98.00 Tc.upf
Sr 87.62 Sr.upf
CELL_PARAMETERS angstrom
-0.937 -5.970 -3.096
4.329 -2.930 4.334
-5.334 3.477 2.358
ATOMIC_POSITIONS angstrom
S 2.989 -3.703 2.444
S 0.403 -5.196 -1.206
S 2.529 -6.636 0.923
S -1.851 -0.495 1.514
S 0.863 -2.264 0.315
S -0.091 -4.927 2.081
Mg 0.000 0.000 0.000
Tc 1.696 -4.450 0.619
Sr 0.345 -1.951 3.655
Sr -2.288 -3.471 -0.060

Entry 5:
! GGA-PBE GdDyCd2, optimized geometry; values from VASP
! magnetization = 0.51 μB/f.u.
! energy of formation from the pure elements = -0.328 eV/atom
! density = 8.55 Mg/m³
&SYSTEM
  ibrav = 0, nat = 4, ntyp = 3
/
ATOMIC_SPECIES
Dy 162.50 Dy.upf
Gd 157.25 Gd.upf
Cd 112.41 Cd.upf
CELL_PARAMETERS angstrom
-2.466 2.398 1.468
-3.305 -0.910 -4.067
-2.251 -3.979 2.719
ATOMIC_POSITIONS angstrom
Dy -1.684 -2.977 2.035
Gd -2.219 -1.457 -1.349
Cd -4.579 -2.249 0.747
Cd -1.790 0.214 1.407

Entry 6:
! GGA-PBE Nd2HoSb3, optimized geometry; values from VASP
! magnetization = 0.00 μB/f.u.
! density = 7.18 Mg/m³
! final energy = -5.574 eV/atom
&SYSTEM
  ibrav = 0, nat = 6, ntyp = 3
/
ATOMIC_SPECIES
Sb 121.76 Sb.upf
Ho 164.93 Ho.upf
Nd 144.24 Nd.upf
CELL_PARAMETERS angstrom
-3.426 0.979 -2.695
-0.431 -3.197 3.090
-3.544 7.448 7.210
ATOMIC_POSITIONS angstrom
Sb -2.640 0.739 3.625
Sb 0.000 0.000 0.000
Sb -4.761 4.490 3.981
Ho -1.772 3.724 3.605
Nd -4.368 4.370 7.141
Nd -3.033 0.859 0.465